A plane-wave DFT calculation with PBE was carried out for crystalline Co2SiPt at its relaxed geometry.

The space group is I4/mmm (No. 139) and the conventional cell measures 3.677, 3.677 and 7.225 Å, with angles of 90.00, 90.00 and 90.00 degrees. The asymmetric unit holds Co at (0.000, 0.500, 0.250), Si at (0.000, 0.000, 0.000) and Pt at (0.000, 0.000, 0.500).

The value obtained for the total energy is -6.67 eV per atom. The density of states at the Fermi level is 0.746 states/eV/atom. Its crystal system is tetragonal. For the formation energy (no corrections), the calculation gives -0.250 eV per atom.



A plane-wave DFT calculation with PBE was carried out for crystalline Co2SiPt at its relaxed geometry.

The space group is P2/m (No. 10) and the conventional cell measures 2.686, 3.707 and 5.058 Å, with angles of 90.00, 101.63 and 90.00 degrees. The asymmetric unit holds Co at (0.119, 0.000, 0.277), Si at (0.500, 0.500, 0.500) and Pt at (0.500, 0.500, 0.000).

The value obtained for the total energy is -6.67 eV per atom. The density of states at the Fermi level is 0.866 states/eV/atom. Its crystal system is monoclinic. For the formation energy (no corrections), the calculation gives -0.252 eV per atom.



A plane-wave DFT calculation with PBE was carried out for crystalline Co2SiPt at its relaxed geometry.

The space group is Cmmm (No. 65) and the conventional cell measures 5.106, 7.031 and 2.697 Å, with angles of 90.00, 90.00 and 90.00 degrees. The asymmetric unit holds Co at (0.250, 0.250, 0.000), Si at (0.000, 0.000, 0.500) and Pt at (0.000, 0.500, 0.500).

The value obtained for the total energy is -6.65 eV per atom. The density of states at the Fermi level is 1.022 states/eV/atom. Its crystal system is orthorhombic. For the formation energy (no corrections), the calculation gives -0.227 eV per atom.



A plane-wave DFT calculation with PBE was carried out for crystalline CoSi2Pt at its relaxed geometry.

The space group is P2/m (No. 10) and the conventional cell measures 2.846, 3.847 and 5.128 Å, with angles of 90.00, 98.29 and 90.00 degrees. The asymmetric unit holds Co at (0.000, 0.000, 0.000), Si at (0.350, 0.500, 0.208) and Pt at (0.500, 0.000, 0.500).

The value obtained for the total energy is -6.19 eV per atom. The density of states at the Fermi level is 0.531 states/eV/atom. Its offset from the most stable computed form is 303 meV per atom. Its crystal system is monoclinic. For the formation energy (no corrections), the calculation gives -0.189 eV per atom.



A plane-wave DFT calculation with PBE was carried out for crystalline Co2SiPt at its relaxed geometry.

The space group is R3m (No. 160, hexagonal axes) and the conventional cell measures 2.7269, 2.7269 and 23.7197 Å, with angles of 90.00, 90.00 and 120.00 degrees. The asymmetric unit holds Co at (0.0000, 0.0000, 0.0000), Co at (0.0000, 0.0000, 0.2535), Si at (0.0000, 0.0000, 0.5128) and Pt at (0.0000, 0.0000, 0.7606).

The value obtained for the total energy is -6.51 eV per atom. The density of states at the Fermi level is 1.384 states/eV/atom. Its crystal system is trigonal. For the formation energy (no corrections), the calculation gives -0.095 eV per atom.



A plane-wave DFT calculation with PBE was carried out for crystalline CoSiPt at its relaxed geometry.

The space group is P3m1 (No. 156) and the conventional cell measures 3.9575, 3.9575 and 2.9051 Å, with angles of 90.00, 90.00 and 120.00 degrees. The asymmetric unit holds Co at (0.0000, 0.0000, 0.0000), Si at (0.6667, 0.3333, 0.8095) and Pt at (0.3333, 0.6667, 0.5031).

The value obtained for the total energy is -6.51 eV per atom. The density of states at the Fermi level is 1.150 states/eV/atom. Its crystal system is trigonal. For the formation energy (no corrections), the calculation gives -0.321 eV per atom.



Number 1: spin magnetization 2.2 μB/f.u.. Number 2: spin magnetization 2.0 μB/f.u.. Number 3: spin magnetization 0.4 μB/f.u.. Number 4: spin magnetization 0.7 μB/f.u.. Number 5: spin magnetization 3.0 μB/f.u.. Number 6: spin magnetization 0.7 μB/f.u..